Computed, not measured: an optimized crystal structure of Nd2CuSn4Pt3 at the PBE level of DFT.

Calculated values
Electronic total energy   -5.529 eV per atom
SG   P-4m2
E_form   -0.752 eV/atom

Lattice parameters (Å, degrees): 4.5565 4.5565 10.8645 90.00 90.00 90.00
Sites, in units of the cell vectors:
Nd1 0.0000 0.5000 0.2345
Nd2 0.5000 0.0000 0.7655
Cu1 0.5000 0.5000 0.0000
Sn1 0.0000 0.0000 0.5000
Sn2 0.0000 0.5000 0.8724
Sn3 0.5000 0.0000 0.1276
Sn4 0.5000 0.5000 0.5000
Pt1 0.0000 0.0000 0.0000
Pt2 0.0000 0.5000 0.6319
Pt3 0.5000 0.0000 0.3681

Computed, not measured: an optimized crystal structure of Zr3Zn2Cu at the PBE level of DFT.

Calculated values
Electronic total energy   -5.597 eV per atom
SG   P4/mmm
E_form   -0.215 eV/atom

Lattice parameters (Å, degrees): 3.2834 3.2834 10.1916 90.00 90.00 90.00
Sites, in units of the cell vectors:
Zr1 0.0000 0.0000 0.0000
Zr2 0.0000 0.0000 0.3378
Zr3 0.0000 0.0000 0.6622
Zn1 0.5000 0.5000 0.1704
Zn2 0.5000 0.5000 0.8296
Cu1 0.5000 0.5000 0.5000

Computed, not measured: an optimized crystal structure of Cu2H3ClO3 at the PBE level of DFT.

Calculated values
Electronic total energy   -4.660 eV per atom
SG   C2/m

Lattice parameters (Å, degrees): 6.1194 6.1194 6.1416 110.50 110.50 69.31
Sites, in units of the cell vectors:
Cu1 0.0000 0.0000 0.0000
Cu2 0.0000 0.0000 0.5000
Cu3 0.0000 0.5000 0.0000
Cu4 0.5000 0.0000 0.0000
H1 0.2688 0.2688 0.3206
H2 0.2798 0.6787 0.7198
H3 0.3213 0.7202 0.2802
H4 0.6787 0.2798 0.7198
H5 0.7202 0.3213 0.2802
H6 0.7312 0.7312 0.6794
Cl1 0.3215 0.3215 0.6795
Cl2 0.6785 0.6785 0.3205
O1 0.1411 0.7634 0.2355
O2 0.2234 0.2234 0.1405
O3 0.2366 0.8589 0.7645
O4 0.7634 0.1411 0.2355
O5 0.7766 0.7766 0.8595
O6 0.8589 0.2366 0.7645

Computed, not measured: an optimized crystal structure of Pm3Si2Ir at the PBE level of DFT.

Calculated values
Electronic total energy   -6.439 eV per atom
SG   Pnma
Formation energy (no corrections)   -4.67 eV per formula unit

Lattice parameters (Å, degrees): 11.8270 4.2653 11.5591 90.00 90.00 90.00
Sites, in units of the cell vectors:
Pm1 0.0591 0.2500 0.1221
Pm2 0.1188 0.7500 0.5580
Pm3 0.2116 0.2500 0.8019
Pm4 0.2884 0.7500 0.3019
Pm5 0.3812 0.2500 0.0580
Pm6 0.4409 0.7500 0.6221
Pm7 0.5591 0.2500 0.3779
Pm8 0.6188 0.7500 0.9420
Pm9 0.7116 0.2500 0.6981
Pm10 0.7884 0.7500 0.1981
Pm11 0.8812 0.2500 0.4420
Pm12 0.9409 0.7500 0.8779
Si1 0.0261 0.7500 0.3141
Si2 0.1973 0.7500 0.9944
Si3 0.3027 0.2500 0.4944
Si4 0.4739 0.2500 0.8141
Si5 0.5261 0.7500 0.1859
Si6 0.6973 0.7500 0.5056
Si7 0.8027 0.2500 0.0056
Si8 0.9739 0.2500 0.6859
Ir1 0.1299 0.2500 0.3636
Ir2 0.3701 0.7500 0.8636
Ir3 0.6299 0.2500 0.1364
Ir4 0.8701 0.7500 0.6364

Computed, not measured: an optimized crystal structure of SiGeMo at the PBE level of DFT.

Calculated values
Electronic total energy   -7.303 eV per atom
SG   P4/nmm
Formation energy (no corrections)   -1.04 eV per formula unit

Lattice parameters (Å, degrees): 3.4384 3.4384 7.7341 90.00 90.00 90.00
Sites, in units of the cell vectors:
Si1 0.2500 0.7500 0.0000
Si2 0.7500 0.2500 0.0000
Ge1 0.2500 0.2500 0.3961
Ge2 0.7500 0.7500 0.6039
Mo1 0.2500 0.2500 0.7549
Mo2 0.7500 0.7500 0.2451

Computed, not measured: an optimized crystal structure of RbTl5 at the PBE level of DFT.

Calculated values
Electronic total energy   -2.171 eV per atom
SG   C2/m
E_form   -0.038 eV/atom

Lattice parameters (Å, degrees): 10.4147 4.9942 8.5655 90.00 102.10 90.00
Sites, in units of the cell vectors:
Rb1 0.0000 0.0000 0.0000
Rb2 0.5000 0.5000 0.0000
Tl1 0.0000 0.0000 0.5000
Tl2 0.1478 0.5000 0.7414
Tl3 0.1737 0.5000 0.3446
Tl4 0.3262 0.0000 0.6554
Tl5 0.3522 0.0000 0.2586
Tl6 0.5000 0.5000 0.5000
Tl7 0.6478 0.0000 0.7414
Tl8 0.6738 0.0000 0.3446
Tl9 0.8262 0.5000 0.6554
Tl10 0.8522 0.5000 0.2586

Computed, not measured: an optimized crystal structure of Ag2RuCl6 at the PBE level of DFT.

Calculated values
Electronic total energy   -3.372 eV per atom
SG   P2_1/c
Formation energy (no corrections)   -4.29 eV per formula unit

Lattice parameters (Å, degrees): 6.8217 6.3844 12.1830 90.00 122.55 90.00
Sites, in units of the cell vectors:
Ag1 0.2028 0.0098 0.2080
Ag2 0.2028 0.4902 0.7080
Ag3 0.7972 0.5098 0.2920
Ag4 0.7972 0.9902 0.7920
Ru1 0.5000 0.0000 0.0000
Ru2 0.5000 0.5000 0.5000
Cl1 0.1875 0.1209 0.7974
Cl2 0.1875 0.3791 0.2974
Cl3 0.2288 0.6842 0.5265
Cl4 0.2288 0.8158 0.0265
Cl5 0.4550 0.2106 0.6025
Cl6 0.4550 0.2894 0.1025
Cl7 0.5450 0.7106 0.8975
Cl8 0.5450 0.7894 0.3975
Cl9 0.7712 0.1842 0.9735
Cl10 0.7712 0.3158 0.4735
Cl11 0.8125 0.6209 0.7026
Cl12 0.8125 0.8791 0.2026

Computed, not measured: an optimized crystal structure of Tc2Pt4Rh5 at the PBE level of DFT.

Calculated values
Electronic total energy   -7.282 eV per atom
SG   C2/m
E_form   0.141 eV/atom

Lattice parameters (Å, degrees): 8.0606 8.0606 6.0714 93.65 93.65 27.06
Sites, in units of the cell vectors:
Tc1 0.0766 0.0766 0.1211
Tc2 0.9234 0.9234 0.8789
Pt1 0.2357 0.2357 0.3444
Pt2 0.4584 0.4584 0.1934
Pt3 0.5416 0.5416 0.8066
Pt4 0.7643 0.7643 0.6556
Rh1 0.0000 0.0000 0.5000
Rh2 0.3092 0.3092 0.9638
Rh3 0.3849 0.3849 0.5831
Rh4 0.6151 0.6151 0.4169
Rh5 0.6908 0.6908 0.0362

Computed, not measured: an optimized crystal structure of HfVCu4 at the PBE level of DFT.

Calculated values
Electronic total energy   -5.911 eV per atom
SG   F-43m
E_form   -0.002 eV/atom

Lattice parameters (Å, degrees): 4.9241 4.9241 4.9241 60.00 60.00 60.00
Sites, in units of the cell vectors:
Hf1 0.0000 0.0000 0.0000
V1 0.7500 0.7500 0.7500
Cu1 0.3754 0.3754 0.3754
Cu2 0.3754 0.3754 0.8738
Cu3 0.3754 0.8738 0.3754
Cu4 0.8738 0.3754 0.3754

Computed, not measured: an optimized crystal structure of CsLaCdCl6 at the PBE level of DFT.

Calculated values
Electronic total energy   -3.813 eV per atom
SG   Imma
Formation energy (no corrections)   -16.55 eV per formula unit

Lattice parameters (Å, degrees): 10.0454 10.0454 10.0454 122.31 118.54 89.30
Sites, in units of the cell vectors:
Cs1 0.2947 0.0447 0.2500
Cs2 0.7053 0.9553 0.7500
La1 0.0000 0.5000 0.5000
La2 0.5000 0.5000 0.0000
Cd1 0.0000 0.0000 0.5000
Cd2 0.0000 0.5000 0.0000
Cl1 0.0555 0.3989 0.2185
Cl2 0.0554 0.8054 0.2500
Cl3 0.0555 0.8370 0.6566
Cl4 0.3196 0.1630 0.7185
Cl5 0.3196 0.6011 0.1566
Cl6 0.3327 0.5827 0.7500
Cl7 0.6673 0.4173 0.2500
Cl8 0.6804 0.3989 0.8434
Cl9 0.6804 0.8370 0.2815
Cl10 0.9445 0.1630 0.3434
Cl11 0.9446 0.1946 0.7500
Cl12 0.9445 0.6011 0.7815

Computed, not measured: an optimized crystal structure of ZnSiOs at the PBE level of DFT.

Calculated values
Electronic total energy   -6.144 eV per atom
SG   I4mm
Formation energy (no corrections)   -0.51 eV per formula unit

Lattice parameters (Å, degrees): 3.1128 3.1128 8.3764 90.00 90.00 90.00
Sites, in units of the cell vectors:
Zn1 0.0000 0.0000 0.0000
Zn2 0.5000 0.5000 0.5000
Si1 0.0000 0.0000 0.3271
Si2 0.5000 0.5000 0.8271
Os1 0.0000 0.0000 0.6839
Os2 0.5000 0.5000 0.1839

Computed, not measured: an optimized crystal structure of KLi2SnRh at the PBE level of DFT.

Calculated values
Electronic total energy   -3.411 eV per atom
SG   P4/mmm
E_form   -0.155 eV/atom

Lattice parameters (Å, degrees): 5.0504 5.0504 5.0450 90.00 90.00 90.00
Sites, in units of the cell vectors:
K1 0.0000 0.0000 0.0000
Li1 0.0000 0.5000 0.5000
Li2 0.5000 0.0000 0.5000
Sn1 0.5000 0.5000 0.0000
Rh1 0.5000 0.5000 0.5000

Computed, not measured: an optimized crystal structure of Tb5DyErTh2 at the PBE level of DFT.

Calculated values
Electronic total energy   -4.896 eV per atom
SG   I4/mcm
E_form   0.344 eV/atom

Lattice parameters (Å, degrees): 9.9544 9.9544 9.9544 128.01 128.01 76.61
Sites, in units of the cell vectors:
Tb1 0.0000 0.0000 0.0000
Tb2 0.0710 0.5710 0.9225
Tb3 0.1485 0.0710 0.5000
Tb4 0.3515 0.8515 0.9225
Tb5 0.4290 0.3515 0.5000
Tb6 0.5000 0.5000 0.0000
Tb7 0.5710 0.6485 0.5000
Tb8 0.6485 0.1485 0.0775
Tb9 0.8515 0.9290 0.5000
Tb10 0.9290 0.4290 0.0775
Dy1 0.2500 0.2500 0.0000
Dy2 0.7500 0.7500 0.0000
Er1 0.2500 0.7500 0.5000
Er2 0.7500 0.2500 0.5000
Th1 0.1200 0.3800 0.5000
Th2 0.3800 0.8800 0.2601
Th3 0.6200 0.1200 0.7399
Th4 0.8800 0.6200 0.5000

Computed, not measured: an optimized crystal structure of PmAg3Se3 at the PBE level of DFT.

Calculated values
Electronic total energy   -4.117 eV per atom
SG   R-3
Formation energy (no corrections)   -5.06 eV per formula unit

Lattice parameters (Å, degrees): 8.2416 8.2416 8.2416 54.69 54.69 54.69
Sites, in units of the cell vectors:
Pm1 0.1667 0.1667 0.1667
Pm2 0.8333 0.8333 0.8333
Ag1 0.0248 0.3784 0.7198
Ag2 0.2802 0.9752 0.6216
Ag3 0.3784 0.7198 0.0248
Ag4 0.6216 0.2802 0.9752
Ag5 0.7198 0.0248 0.3784
Ag6 0.9752 0.6216 0.2802
Se1 0.0945 0.7561 0.4259
Se2 0.2439 0.5741 0.9055
Se3 0.4259 0.0945 0.7561
Se4 0.5741 0.9055 0.2439
Se5 0.7561 0.4259 0.0945
Se6 0.9055 0.2439 0.5741

Computed, not measured: an optimized crystal structure of TmPBrO4 at the PBE level of DFT.

Calculated values
Electronic total energy   -6.955 eV per atom
SG   C2/m
Formation energy (no corrections)   -17.30 eV per formula unit

Lattice parameters (Å, degrees): 6.3425 6.3425 6.4778 99.68 99.68 57.79
Sites, in units of the cell vectors:
Tm1 0.2004 0.2004 0.3241
Tm2 0.7996 0.7996 0.6759
P1 0.1354 0.1354 0.7593
P2 0.8646 0.8646 0.2407
Br1 0.4720 0.4720 0.8205
Br2 0.5280 0.5280 0.1795
O1 0.0042 0.0042 0.2685
O2 0.0181 0.6211 0.3630
O3 0.1971 0.1971 0.9910
O4 0.3789 0.9819 0.6370
O5 0.6211 0.0181 0.3630
O6 0.8029 0.8029 0.0090
O7 0.9819 0.3789 0.6370
O8 0.9958 0.9958 0.7315

Computed, not measured: an optimized crystal structure of Y2TiZnO6 at the PBE level of DFT.

Calculated values
Electronic total energy   -8.003 eV per atom
SG   P4mm
Formation energy (no corrections)   -28.19 eV per formula unit

Lattice parameters (Å, degrees): 5.1986 5.1986 4.9653 90.00 90.00 90.00
Sites, in units of the cell vectors:
Y1 0.0000 0.5000 0.0000
Y2 0.5000 0.0000 0.0000
Ti1 0.0000 0.0000 0.5959
Zn1 0.5000 0.5000 0.5640
O1 0.0000 0.0000 0.2252
O2 0.2426 0.2426 0.7376
O3 0.2426 0.7574 0.7376
O4 0.5000 0.5000 0.1781
O5 0.7574 0.2426 0.7376
O6 0.7574 0.7574 0.7376

Computed, not measured: an optimized crystal structure of MnBRuS2 at the PBE level of DFT.

Calculated values
Electronic total energy   -5.688 eV per atom
SG   P4/mmm
Formation energy (no corrections)   4.94 eV per formula unit

Lattice parameters (Å, degrees): 4.3586 4.3586 3.7600 90.00 90.00 90.00
Sites, in units of the cell vectors:
Mn1 0.0000 0.0000 0.0000
B1 0.0000 0.0000 0.5000
Ru1 0.5000 0.5000 0.5000
S1 0.0000 0.5000 0.0000
S2 0.5000 0.0000 0.0000

Computed, not measured: an optimized crystal structure of YCoW2 at the PBE level of DFT.

Calculated values
Electronic total energy   -9.323 eV per atom
SG   P2/m
E_form   0.546 eV/atom

Lattice parameters (Å, degrees): 2.9039 4.8708 4.9617 90.00 99.17 90.00
Sites, in units of the cell vectors:
Y1 0.0000 0.0000 0.0000
Co1 0.5000 0.0000 0.5000
W1 0.2953 0.5000 0.7447
W2 0.7047 0.5000 0.2553

Computed, not measured: an optimized crystal structure of CaLaPt2 at the PBE level of DFT.

Calculated values
Electronic total energy   -5.702 eV per atom
SG   P4/mmm
E_form   -0.950 eV/atom

Lattice parameters (Å, degrees): 4.2040 4.2040 5.8841 90.00 90.00 90.00
Sites, in units of the cell vectors:
Ca1 0.0000 0.0000 0.0000
La1 0.5000 0.5000 0.5000
Pt1 0.0000 0.0000 0.5000
Pt2 0.5000 0.5000 0.0000

Computed, not measured: an optimized crystal structure of InCu2SeO6 at the PBE level of DFT.

Calculated values
Electronic total energy   -5.056 eV per atom
SG   C2/c
Formation energy (no corrections)   -6.39 eV per formula unit

Lattice parameters (Å, degrees): 6.7244 6.7244 5.9570 104.23 104.23 98.29
Sites, in units of the cell vectors:
In1 0.0971 0.9029 0.7500
In2 0.9029 0.0971 0.2500
Cu1 0.2875 0.4570 0.8405
Cu2 0.4570 0.2875 0.3405
Cu3 0.5430 0.7125 0.6595
Cu4 0.7125 0.5430 0.1595
Se1 0.2180 0.7820 0.2500
Se2 0.7820 0.2180 0.7500
O1 0.0366 0.2120 0.6857
O2 0.0858 0.6557 0.9011
O3 0.2120 0.0366 0.1857
O4 0.3119 0.4707 0.5086
O5 0.3443 0.9142 0.5989
O6 0.4707 0.3119 0.0086
O7 0.5293 0.6881 0.9914
O8 0.6557 0.0858 0.4011
O9 0.6881 0.5293 0.4914
O10 0.7880 0.9634 0.8143
O11 0.9142 0.3443 0.0989
O12 0.9634 0.7880 0.3143